{"formula": "MnIrCl2", "functional": "GGA-PBEsol", "state": "optimized geometry", "lattice_angstrom": [[4.332, 0.000, 0.000], [0.000, 4.332, 0.000], [0.000, 0.000, 3.225]], "species": ["Mn", "Ir", "Cl", "Cl"], "fractional_positions": [[0.000, 0.000, 0.000], [0.500, 0.500, 0.000], [0.000, 0.500, 0.500], [0.500, 0.000, 0.500]], "polymorph_energy_ev_per_atom": 0.638, "formation_energy_uncorrected_mev_per_atom": 644.2}

{"formula": "MnIr2Cl", "functional": "GGA-PBEsol", "state": "optimized geometry", "lattice_angstrom": [[2.754, 0.000, 0.000], [0.000, 4.485, 0.000], [0.000, 0.000, 4.703]], "species": ["Mn", "Ir", "Ir", "Cl"], "fractional_positions": [[0.000, 0.000, 0.000], [0.000, 0.500, 0.500], [0.500, 0.500, 0.000], [0.500, 0.000, 0.500]], "polymorph_energy_ev_per_atom": 0.235, "formation_energy_uncorrected_mev_per_atom": 577.1}

{"formula": "MnIrCl", "functional": "GGA-PBEsol", "state": "optimized geometry", "lattice_angstrom": [[2.854, 0.000, 0.000], [-1.427, 2.471, 0.000], [0.000, 0.000, 6.270]], "species": ["Mn", "Ir", "Cl"], "fractional_positions": [[0.000, 0.000, 0.000], [0.667, 0.333, 0.302], [0.333, 0.667, 0.742]], "polymorph_energy_ev_per_atom": 0.000, "formation_energy_uncorrected_mev_per_atom": 183.7}

{"formula": "MnIrCl", "functional": "GGA-PBEsol", "state": "optimized geometry", "lattice_angstrom": [[5.745, 0.000, 0.000], [0.000, 5.745, 0.000], [0.000, 0.000, 5.745]], "species": ["Mn", "Mn", "Mn", "Mn", "Ir", "Ir", "Ir", "Ir", "Cl", "Cl", "Cl", "Cl"], "fractional_positions": [[0.000, 0.000, 0.000], [0.000, 0.500, 0.500], [0.500, 0.000, 0.500], [0.500, 0.500, 0.000], [0.000, 0.000, 0.500], [0.000, 0.500, 0.000], [0.500, 0.000, 0.000], [0.500, 0.500, 0.500], [0.250, 0.250, 0.250], [0.250, 0.750, 0.750], [0.750, 0.250, 0.750], [0.750, 0.750, 0.250]], "polymorph_energy_ev_per_atom": 1.006, "formation_energy_uncorrected_mev_per_atom": 1189.5}

{"formula": "MnIrCl2", "functional": "GGA-PBEsol", "state": "optimized geometry", "lattice_angstrom": [[2.892, 0.000, 0.000], [0.000, 2.892, 0.000], [0.000, 0.000, 9.441]], "species": ["Mn", "Ir", "Cl", "Cl"], "fractional_positions": [[0.000, 0.000, 0.000], [0.000, 0.000, 0.500], [0.500, 0.500, 0.165], [0.500, 0.500, 0.835]], "polymorph_energy_ev_per_atom": 0.705, "formation_energy_uncorrected_mev_per_atom": 711.0}

{"formula": "MnIrRu2Cl", "functional": "GGA-PBEsol", "state": "optimized geometry", "lattice_angstrom": [[4.250, 0.000, 0.000], [0.000, 4.250, 0.000], [0.000, 0.000, 4.384]], "species": ["Mn", "Ir", "Ru", "Ru", "Cl"], "fractional_positions": [[0.000, 0.000, 0.000], [0.500, 0.500, 0.000], [0.000, 0.500, 0.500], [0.500, 0.000, 0.500], [0.500, 0.500, 0.500]], "formation_energy_uncorrected_mev_per_atom": 1285.9}

{"formula": "MnSiIr2Cl", "functional": "GGA-PBEsol", "state": "optimized geometry", "lattice_angstrom": [[4.402, 0.000, 0.000], [0.000, 4.402, 0.000], [0.000, 0.000, 4.449]], "species": ["Mn", "Si", "Ir", "Ir", "Cl"], "fractional_positions": [[0.000, 0.000, 0.000], [0.500, 0.500, 0.000], [0.000, 0.500, 0.500], [0.500, 0.000, 0.500], [0.500, 0.500, 0.500]], "formation_energy_uncorrected_mev_per_atom": 1500.8}

{"formula": "MoIrCl", "functional": "GGA-PBEsol", "state": "optimized geometry", "lattice_angstrom": [[4.201, 0.000, 0.000], [-2.101, 3.638, 0.000], [0.000, 0.000, 2.849]], "species": ["Mo", "Ir", "Cl"], "fractional_positions": [[0.000, 0.000, 0.000], [0.667, 0.333, 0.518], [0.333, 0.667, 0.095]], "formation_energy_uncorrected_mev_per_atom": 458.2}

{"formula": "Mo2IrCl", "functional": "GGA-PBEsol", "state": "optimized geometry", "lattice_angstrom": [[4.576, 0.000, 0.000], [0.000, 4.576, 0.000], [0.000, 0.000, 2.778]], "species": ["Mo", "Mo", "Ir", "Cl"], "fractional_positions": [[0.000, 0.500, 0.000], [0.500, 0.000, 0.000], [0.000, 0.000, 0.500], [0.500, 0.500, 0.500]], "polymorph_energy_ev_per_atom": 0.000, "formation_energy_uncorrected_mev_per_atom": 341.3}

{"formula": "Mo2IrCl", "functional": "GGA-PBEsol", "state": "optimized geometry", "lattice_angstrom": [[3.734, 0.000, 0.000], [0.000, 3.734, 0.000], [0.000, 0.000, 8.634]], "species": ["Mo", "Mo", "Mo", "Mo", "Ir", "Ir", "Cl", "Cl"], "fractional_positions": [[0.000, 0.000, 0.000], [0.000, 0.500, 0.250], [0.500, 0.000, 0.750], [0.500, 0.500, 0.500], [0.000, 0.500, 0.750], [0.500, 0.000, 0.250], [0.000, 0.000, 0.500], [0.500, 0.500, 0.000]], "polymorph_energy_ev_per_atom": 0.532, "formation_energy_uncorrected_mev_per_atom": 873.1}

{"formula": "Ni2MoIrCl", "functional": "GGA-PBEsol", "state": "optimized geometry", "lattice_angstrom": [[4.472, 0.000, 0.000], [0.000, 4.472, 0.000], [0.000, 0.000, 4.674]], "species": ["Ni", "Ni", "Mo", "Ir", "Cl"], "fractional_positions": [[0.000, 0.500, 0.000], [0.500, 0.000, 0.000], [0.000, 0.000, 0.000], [0.000, 0.000, 0.500], [0.500, 0.500, 0.500]], "formation_energy_uncorrected_mev_per_atom": 1650.3}

{"formula": "MoPIrCl2", "functional": "GGA-PBEsol", "state": "optimized geometry", "lattice_angstrom": [[4.878, 0.000, 0.000], [0.000, 4.878, 0.000], [0.000, 0.000, 4.437]], "species": ["Mo", "P", "Ir", "Cl", "Cl"], "fractional_positions": [[0.000, 0.000, 0.000], [0.500, 0.500, 0.000], [0.500, 0.500, 0.500], [0.000, 0.500, 0.500], [0.500, 0.000, 0.500]], "formation_energy_uncorrected_mev_per_atom": 987.0}